(1)
{
  "formula": "PuTl3O6",
  "functional": "PBE",
  "state": "relaxed",
  "lattice_angstrom": [[0.000, 4.340, 4.340], [4.340, 0.000, 4.340], [4.340, 4.340, 0.000]],
  "species": ["Pu", "Tl", "Tl", "Tl", "O", "O", "O", "O", "O", "O"],
  "fractional_positions": [[0.000, 0.000, 0.000], [0.250, 0.250, 0.250], [0.500, 0.500, 0.500], [0.750, 0.750, 0.750], [0.233, 0.233, 0.767], [0.233, 0.767, 0.233], [0.233, 0.767, 0.767], [0.767, 0.233, 0.233], [0.767, 0.233, 0.767], [0.767, 0.767, 0.233]],
  "formation_energy_uncorrected_ev_per_atom": -1.39,
  "de_polymorph_ev_per_atom": 0.000,
  "spacegroup": "No. 225"
}

=====

(2)
{
  "formula": "Tm4BeCo3",
  "functional": "PBE",
  "state": "relaxed",
  "lattice_angstrom": [[3.834, 0.000, 0.000], [0.000, 3.937, 0.000], [0.000, 0.000, 10.150]],
  "species": ["Tm", "Tm", "Tm", "Tm", "Be", "Co", "Co", "Co"],
  "fractional_positions": [[0.000, 0.000, 0.000], [0.000, 0.500, 0.494], [0.500, 0.000, 0.713], [0.500, 0.500, 0.212], [0.000, 0.500, 0.801], [0.000, 0.000, 0.292], [0.500, 0.000, 0.418], [0.500, 0.500, 0.907]],
  "formation_enthalpy_0k_ev_per_atom": -0.22,
  "spacegroup": "No. 25",
  "dos_ef_per_ev_atom": 1.10
}

=====

(3)
{
  "formula": "CdCoRh",
  "functional": "PBE",
  "state": "relaxed",
  "lattice_angstrom": [[4.316, 0.000, 0.000], [-2.158, 3.738, 0.000], [0.000, 0.000, 2.865]],
  "species": ["Cd", "Co", "Rh"],
  "fractional_positions": [[0.000, 0.000, 0.000], [0.667, 0.333, 0.488], [0.333, 0.667, 0.506]],
  "formation_enthalpy_0k_ev_per_atom": 0.19,
  "de_polymorph_ev_per_atom": 0.099,
  "spacegroup": "No. 156",
  "dos_ef_per_ev_atom": 1.29
}

=====

Total energy / eV per cell: -65.120; -44.654; -14.806